Record 1
The following is a PBE-GGA calculation of La4HoPa3N8 after structural relaxation, from the Alexandria database.

Results
Total moment: 0.000 μB per atom
Raw total energy: -9.04 eV/atom

The structure in CIF format:
```
data_La4HoPa3N8
_cell_length_a 7.1498
_cell_length_b 7.1498
_cell_length_c 17.9874
_cell_angle_alpha 90.00
_cell_angle_beta 90.00
_cell_angle_gamma 120.00
_symmetry_space_group_name_H-M 'R -3 m'
_symmetry_Int_Tables_number 166
_symmetry_space_group_name_Hall '-R 3 2"'
loop_
_atom_site_label
_atom_site_type_symbol
_atom_site_fract_x
_atom_site_fract_y
_atom_site_fract_z
_atom_site_occupancy
La1 La 0.0000 0.0000 0.0000 1
La2 La 0.0000 0.5000 0.0000 1
Ho1 Ho 0.0000 0.0000 0.5000 1
Pa1 Pa 0.0000 0.5000 0.5000 1
N1 N 0.0000 0.0000 0.2339 1
N2 N 0.0112 0.5056 0.7651 1
```

---

Record 2
The following is a PBE-GGA calculation of Pr3SmAl after structural relaxation, from the Alexandria database.

Results
Energy of formation: -104 meV/atom
Total moment: 0.000 μB per atom
Raw total energy: -4.66 eV/atom

The structure in CIF format:
```
data_Pr3SmAl
_cell_length_a 3.7825
_cell_length_b 8.8812
_cell_length_c 10.0037
_cell_angle_alpha 103.48
_cell_angle_beta 100.89
_cell_angle_gamma 90.02
_symmetry_space_group_name_H-M 'P -1'
_symmetry_Int_Tables_number 2
loop_
_symmetry_equiv_pos_as_xyz
'x,y,z'
'-x,-y,-z'
loop_
_atom_site_label
_atom_site_type_symbol
_atom_site_fract_x
_atom_site_fract_y
_atom_site_fract_z
_atom_site_occupancy
Pr1 Pr 0.0015 0.2948 0.0016 1
Pr2 Pr 0.1852 0.3767 0.3716 1
Pr3 Pr 0.1976 0.8235 0.3955 1
Sm1 Sm 0.4064 0.9579 0.8103 1
Al1 Al 0.3972 0.4354 0.7938 1
```

---

Record 3
The following is a PBE-GGA calculation of Dy3CdGa3 after structural relaxation, from the Alexandria database.

Results
Energy of formation: -557 meV/atom
Total moment: 0.000 μB per atom
Raw total energy: -3.96 eV/atom

The structure in CIF format:
```
data_Dy3CdGa3
_cell_length_a 11.0469
_cell_length_b 4.4387
_cell_length_c 14.1947
_cell_angle_alpha 90.00
_cell_angle_beta 109.97
_cell_angle_gamma 90.00
_symmetry_space_group_name_H-M 'C 1 2/m 1'
_symmetry_Int_Tables_number 12
loop_
_symmetry_equiv_pos_as_xyz
'x,y,z'
'-x,-y,-z'
'-x,y,-z'
'x,-y,z'
'x+1/2,y+1/2,z'
'-x+1/2,-y+1/2,-z'
'-x+1/2,y+1/2,-z'
'x+1/2,-y+1/2,z'
loop_
_atom_site_label
_atom_site_type_symbol
_atom_site_fract_x
_atom_site_fract_y
_atom_site_fract_z
_atom_site_occupancy
Dy1 Dy 0.0185 0.0000 0.3718 1
Dy2 Dy 0.1058 0.0000 0.9239 1
Dy3 Dy 0.2342 0.0000 0.2187 1
Cd1 Cd 0.2376 0.5000 0.4013 1
Ga1 Ga 0.0224 0.5000 0.2252 1
Ga2 Ga 0.1112 0.5000 0.0735 1
Ga3 Ga 0.1177 0.5000 0.5542 1
```